# DyHICl

Crystalline DyHICl at its relaxed geometry (GGA-PBE, OQMD via LeMat-Bulk).

a b c (Å): 3.866 3.866 15.087
angles (deg): 90.00 90.00 120.00
Fractional positions:
Dy 0.000 0.000 0.000
Dy 0.000 0.000 0.500
H 0.333 0.667 0.000
H 0.667 0.333 0.500
I 0.667 0.333 0.143
I 0.667 0.333 0.857
Cl 0.333 0.667 0.387
Cl 0.333 0.667 0.613

Properties
total energy = -4.306 eV per atom